VASP calculation (PBE-GGA) on an optimized crystal structure of HgTePb2.

E_tot = -2.79 eV per atom
Raw formation energy = -0.076 eV/atom
Energy above the most stable polymorph in this dataset = 22 meV/atom

Unit cell a=4.051 b=4.051 c=7.375 alpha=90.00 beta=90.00 gamma=89.86
Sites, in units of the cell vectors:
1 Hg 0.500 0.500 0.750
2 Pb 0.000 0.000 0.008
3 Pb 0.000 0.000 0.492
4 Te 0.500 0.500 0.250

***

VASP calculation (PBE-GGA) on an optimized crystal structure of HgTePb2.

E_tot = -2.64 eV per atom
Raw formation energy = 0.075 eV/atom
Energy above the most stable polymorph in this dataset = 173 meV/atom

Unit cell a=12.401 b=12.401 c=12.401 alpha=15.76 beta=15.76 gamma=15.76
Sites, in units of the cell vectors:
1 Hg 0.750 0.750 0.750
2 Pb 0.001 0.001 0.001
3 Pb 0.248 0.248 0.248
4 Te 0.501 0.501 0.501

***

VASP calculation (PBE-GGA) on an optimized crystal structure of TlHgTe2Pb.

E_tot = -2.64 eV per atom
Raw formation energy = -0.106 eV/atom

Unit cell a=6.432 b=8.902 c=6.624 alpha=115.34 beta=90.00 gamma=90.00
Sites, in units of the cell vectors:
1 Tl 0.240 0.500 0.750
2 Tl 0.760 0.500 0.250
3 Hg 0.000 0.000 0.000
4 Hg 0.000 0.000 0.500
5 Te 0.744 0.696 0.853
6 Te 0.744 0.304 0.647
7 Te 0.256 0.696 0.353
8 Te 0.256 0.304 0.147
9 Pb 0.483 0.000 0.250
10 Pb 0.517 0.000 0.750

***

VASP calculation (PBE-GGA) on an optimized crystal structure of Y6Hg2Te3Pb.

E_tot = -5.29 eV per atom
Raw formation energy = -0.916 eV/atom

Unit cell a=4.281 b=8.935 c=10.076 alpha=110.06 beta=102.26 gamma=90.00
Sites, in units of the cell vectors:
1 Y 0.330 0.876 0.659
2 Y 0.663 0.614 0.325
3 Y 0.670 0.124 0.341
4 Y 0.010 0.254 0.020
5 Y 0.990 0.746 0.980
6 Y 0.337 0.386 0.675
7 Hg 0.816 0.612 0.632
8 Hg 0.184 0.388 0.368
9 Te 0.500 0.500 0.000
10 Te 0.838 0.137 0.676
11 Te 0.162 0.863 0.324
12 Pb 0.500 0.000 0.000

***

VASP calculation (PBE-GGA) on an optimized crystal structure of Zr2HgTePb.

E_tot = -4.04 eV per atom
Raw formation energy = 0.812 eV/atom

Unit cell a=5.405 b=5.547 c=5.405 alpha=90.00 beta=90.00 gamma=90.00
Site moments in Bohr magnetons follow the coordinates.
Sites, in units of the cell vectors:
1 Pb 0.000 0.500 0.000  -0.01
2 Te 0.500 0.500 0.500  -0.02
3 Hg 0.000 0.000 0.000  0.01
4 Zr 0.000 0.000 0.500  0.30
5 Zr 0.500 0.000 0.000  0.42

***

VASP calculation (PBE-GGA) on an optimized crystal structure of Th4Hg7Pb.

ΔE_f = -0.01 eV/atom
E_tot = -2.97 eV per atom

Unit cell a=5.648 b=10.045 c=7.099 alpha=83.02 beta=66.56 gamma=73.67
Sites, in units of the cell vectors:
1 Th 0.589 0.221 0.602
2 Th 0.411 0.779 0.398
3 Th 0.739 0.664 0.858
4 Th 0.261 0.336 0.142
5 Hg 0.788 0.902 0.523
6 Hg 0.212 0.098 0.477
7 Hg 0.076 0.671 0.178
8 Hg 0.924 0.329 0.822
9 Hg 0.368 0.535 0.730
10 Hg 0.500 0.000 0.000
11 Hg 0.632 0.465 0.270
12 Pb 0.000 0.000 0.000

***

VASP calculation (PBE-GGA) on an optimized crystal structure of Th3Hg5Pb.

ΔE_f = 0.01 eV/atom
E_tot = -3.04 eV per atom
Energy above the most stable polymorph in this dataset = 234 meV/atom

Unit cell a=8.839 b=8.839 c=9.072 alpha=119.15 beta=119.15 gamma=90.00
Sites, in units of the cell vectors:
1 Th 0.623 0.123 0.000
2 Th 0.377 0.877 0.000
3 Th 0.877 0.623 0.000
4 Th 0.123 0.377 0.000
5 Th 0.250 0.250 0.500
6 Th 0.750 0.750 0.500
7 Hg 0.052 0.552 0.708
8 Hg 0.656 0.156 0.708
9 Hg 0.156 0.052 0.708
10 Hg 0.552 0.656 0.708
11 Hg 0.948 0.448 0.292
12 Hg 0.344 0.844 0.292
13 Hg 0.844 0.948 0.292
14 Hg 0.448 0.344 0.292
15 Hg 0.500 0.500 0.000
16 Hg 0.000 0.000 0.000
17 Pb 0.750 0.250 0.500
18 Pb 0.250 0.750 0.500

***

VASP calculation (PBE-GGA) on an optimized crystal structure of Th3HgPb.

ΔE_f = -0.11 eV/atom
E_tot = -5.36 eV per atom

Unit cell a=6.504 b=9.584 c=8.231 alpha=96.32 beta=132.36 gamma=59.48
Sites, in units of the cell vectors:
1 Th 0.181 0.290 0.075
2 Th 0.998 0.896 0.434
3 Th 0.543 0.723 0.013
4 Th 0.556 0.057 0.829
5 Th 0.221 0.472 0.621
6 Th 0.477 0.546 0.400
7 Hg 0.840 0.145 0.675
8 Hg 0.909 0.673 0.835
9 Pb 0.401 0.912 0.324
10 Pb 0.801 0.294 0.214

***

VASP calculation (PBE-GGA) on an optimized crystal structure of ThHg2Pb2.

ΔE_f = -0.16 eV/atom
E_tot = -3.25 eV per atom

Unit cell a=4.754 b=4.675 c=12.606 alpha=90.00 beta=100.87 gamma=90.00
Sites, in units of the cell vectors:
1 Th 0.358 0.250 0.717
2 Th 0.642 0.750 0.283
3 Hg 0.045 0.750 0.090
4 Hg 0.457 0.750 0.915
5 Hg 0.955 0.250 0.910
6 Hg 0.543 0.250 0.085
7 Pb 0.750 0.250 0.501
8 Pb 0.250 0.750 0.499
9 Pb 0.860 0.750 0.720
10 Pb 0.140 0.250 0.280

***

VASP calculation (PBE-GGA) on an optimized crystal structure of Th2HgPb9.

ΔE_f = -0.13 eV/atom
E_tot = -4.17 eV per atom

Unit cell a=4.841 b=4.841 c=15.348 alpha=90.00 beta=90.00 gamma=90.00
Sites, in units of the cell vectors:
1 Th 0.000 0.000 0.347
2 Th 0.000 0.000 0.653
3 Hg 0.000 0.000 0.000
4 Pb 0.500 0.500 0.000
5 Pb 0.500 0.500 0.331
6 Pb 0.500 0.500 0.669
7 Pb 0.500 0.000 0.167
8 Pb 0.500 0.000 0.500
9 Pb 0.500 0.000 0.833
10 Pb 0.000 0.500 0.167
11 Pb 0.000 0.500 0.500
12 Pb 0.000 0.500 0.833

***

VASP calculation (PBE-GGA) on an optimized crystal structure of ThHgPb2.

ΔE_f = -0.25 eV/atom
E_tot = -4.04 eV per atom
Energy above the most stable polymorph in this dataset = 0 meV/atom

Unit cell a=4.789 b=4.844 c=4.844 alpha=90.00 beta=90.00 gamma=90.00
Sites, in units of the cell vectors:
1 Pb 0.000 0.000 0.500
2 Pb 0.000 0.500 0.000
3 Hg 0.500 0.000 0.000
4 Th 0.500 0.500 0.500

***

VASP calculation (PBE-GGA) on an optimized crystal structure of ThHg6Pb.

ΔE_f = 0.25 eV/atom
E_tot = -1.36 eV per atom

Unit cell a=6.353 b=6.353 c=8.678 alpha=68.53 beta=68.53 gamma=60.00
Sites, in units of the cell vectors:
1 Th 0.000 0.000 0.000
2 Hg 0.073 0.073 0.307
3 Hg 0.073 0.548 0.307
4 Hg 0.452 0.927 0.693
5 Hg 0.927 0.452 0.693
6 Hg 0.927 0.927 0.693
7 Hg 0.548 0.073 0.307
8 Pb 0.500 0.500 0.500